# Pm4Nd2Th3

An optimized crystal structure of Pm4Nd2Th3 (PBE, Alexandria).

- energy of formation from the pure elements (meV per atom) = 84.1

a b c (Å): 3.605 3.605 27.246
angles (deg): 90.00 90.00 120.00
Fractional positions:
1 Pm 0.000 0.000 0.000
2 Pm 0.000 0.000 0.215
3 Pm 0.333 0.667 0.327
4 Pm 0.333 0.667 0.543
5 Nd 0.000 0.000 0.657
6 Nd 0.000 0.000 0.873
7 Th 0.000 0.000 0.435
8 Th 0.333 0.667 0.106
9 Th 0.333 0.667 0.766